[1]
A plane-wave DFT calculation with PBE was carried out for crystalline Ta2CuPb at its relaxed geometry.

Cell: 4.735 4.735 4.735 Å, 60.00 60.00 60.00°
Atoms (fractional coordinates):
1 Cu 0.500 0.500 0.500
2 Ta 0.750 0.750 0.750
3 Ta 0.000 0.000 0.000
4 Pb 0.250 0.250 0.250

Energy of formation = 0.687 eV per atom
Raw total energy = -7.1905 eV per atom


[2]
A plane-wave DFT calculation with PBE was carried out for crystalline Ta2CuPb at its relaxed geometry.

Cell: 3.012 3.012 8.211 Å, 90.00 90.00 97.83°
Atoms (fractional coordinates):
1 Cu 0.500 0.500 0.250
2 Ta 0.000 0.000 0.038
3 Ta 0.000 0.000 0.462
4 Pb 0.500 0.500 0.750

Energy of formation = 0.458 eV per atom
Raw total energy = -7.4195 eV per atom


[3]
A plane-wave DFT calculation with PBE was carried out for crystalline Ta2CuPb at its relaxed geometry.

Cell: 3.522 3.522 5.892 Å, 90.00 90.00 90.00°
Atoms (fractional coordinates):
1 Pb 0.500 0.500 0.750
2 Ta 0.000 0.000 0.025
3 Ta 0.000 0.000 0.475
4 Cu 0.500 0.500 0.250

Energy of formation = 0.551 eV per atom
Raw total energy = -7.3268 eV per atom


[4]
A plane-wave DFT calculation with PBE was carried out for crystalline TaCuPb at its relaxed geometry.

Cell: 6.208 6.208 6.208 Å, 150.59 150.59 42.08°
Atoms (fractional coordinates):
1 Cu 0.013 0.013 0.000
2 Ta 0.645 0.645 0.000
3 Pb 0.342 0.342 0.000

Energy of formation = 0.466 eV per atom
Raw total energy = -6.0869 eV per atom


[5]
A plane-wave DFT calculation with PBE was carried out for crystalline TaCuPb2 at its relaxed geometry.

Cell: 3.188 5.171 5.171 Å, 90.00 90.00 90.00°
Atoms (fractional coordinates):
1 Cu 0.500 0.000 0.500
2 Ta 0.500 0.500 0.000
3 Pb 0.000 0.500 0.500
4 Pb 0.000 0.000 0.000

ΔE to the lowest computed polymorph = 290.1 meV/atom
Energy of formation = 0.566 eV per atom
Raw total energy = -5.2750 eV per atom


[6]
A plane-wave DFT calculation with PBE was carried out for crystalline Ta4CuPb at its relaxed geometry.

Cell: 5.531 5.531 5.531 Å, 60.00 60.00 60.00°
Atoms (fractional coordinates):
1 Pb 0.000 0.000 0.000
2 Ta 0.376 0.376 0.873
3 Ta 0.873 0.376 0.376
4 Ta 0.376 0.873 0.376
5 Ta 0.376 0.376 0.376
6 Cu 0.750 0.750 0.750

Energy of formation = 0.667 eV per atom
Raw total energy = -8.5356 eV per atom


[7]
A plane-wave DFT calculation with PBE was carried out for crystalline Ta2CuPb at its relaxed geometry.

Cell: 5.250 5.250 5.250 Å, 134.10 134.10 66.93°
Atoms (fractional coordinates):
1 Ta 0.000 0.000 0.000
2 Ta 0.250 0.750 0.500
3 Cu 0.500 0.500 0.000
4 Pb 0.750 0.250 0.500

Energy of formation = 0.472 eV per atom
Raw total energy = -7.4051 eV per atom


[8]
A plane-wave DFT calculation with PBE was carried out for crystalline Ta2CuPb at its relaxed geometry.

Cell: 5.164 5.164 5.181 Å, 79.37 79.37 33.81°
Atoms (fractional coordinates):
1 Ta 0.987 0.987 0.041
2 Ta 0.249 0.249 0.236
3 Pb 0.752 0.752 0.730
4 Cu 0.511 0.511 0.494

Energy of formation = 0.487 eV per atom
Raw total energy = -7.3904 eV per atom